[1]
Te2AsW: optimized geometry, PBE.

Computed properties:
Total DFT energy (no corrections) ... -5.121 eV/atom
Space-group type ... F-43m (216)
Calculated density ... 10.31 g/cm3
E_form (uncorrected) ... 0.85 eV/atom

Cell lengths 4.8923, 4.8923, 4.8923 Å; angles 60.00, 60.00, 60.00 degrees
Closest atoms and distances in Å follow each position.
Atoms (fractional coordinates):
Te  0.0000  0.0000  0.0000  4 W 3.00, 4 Te 3.00
Te  0.2500  0.2500  0.2500  4 As 3.00, 4 Te 3.00
As  0.5000  0.5000  0.5000  4 W 3.00, 4 Te 3.00
W  0.7500  0.7500  0.7500  4 As 3.00, 4 Te 3.00

[2]
Ce2SnB2Ru5: optimized geometry, PBE.

Computed properties:
Total DFT energy (no corrections) ... -8.085 eV/atom
Space-group type ... P4/mbm (127)
E_form ... -0.525 eV per atom
Calculated density ... 10.13 g/cm3

Cell lengths 9.7870, 9.7870, 3.1677 Å; angles 90.00, 90.00, 90.00 degrees
Closest atoms and distances in Å follow each position.
Atoms (fractional coordinates):
Ce  0.1760  0.3240  0.0000  3 B 2.81-2.95, 10 Ru 2.91-3.05
Ce  0.3240  0.8240  0.0000  3 B 2.81-2.95, 10 Ru 2.91-3.05
Ce  0.6760  0.1760  0.0000  3 B 2.81-2.95, 10 Ru 2.91-3.05
Ce  0.8240  0.6760  0.0000  3 B 2.81-2.95, 10 Ru 2.91-3.05
Sn  0.0000  0.0000  0.0000  8 Ru 2.80
Sn  0.5000  0.5000  0.0000  8 Ru 2.80
B  0.1206  0.6206  0.0000  6 Ru 2.24-2.30
B  0.3794  0.1206  0.0000  6 Ru 2.24-2.30
B  0.6206  0.8794  0.0000  6 Ru 2.24-2.30
B  0.8794  0.3794  0.0000  6 Ru 2.24-2.30
Ru  0.0000  0.5000  0.5000  4 B 2.30
Ru  0.0714  0.7753  0.5000  2 B 2.24
Ru  0.2247  0.0714  0.5000  2 B 2.24
Ru  0.2753  0.5714  0.5000  2 B 2.24
Ru  0.4286  0.2753  0.5000  2 B 2.24
Ru  0.5000  0.0000  0.5000  4 B 2.30
Ru  0.5714  0.7247  0.5000  2 B 2.24
Ru  0.7247  0.4286  0.5000  2 B 2.24
Ru  0.7753  0.9286  0.5000  2 B 2.24
Ru  0.9286  0.2247  0.5000  2 B 2.24

[3]
NaGe2Te2: optimized geometry, PBE.

Computed properties:
Total DFT energy (no corrections) ... -3.510 eV/atom
Energy relative to the lowest polymorph listed for this composition ... 41 meV per atom
Space-group type ... C2/m (12)
Calculated density ... 4.42 g/cm3
E_form (uncorrected) ... -0.14 eV/atom

Cell lengths 7.4325, 7.4325, 6.3825 Å; angles 101.05, 101.05, 107.47 degrees
Closest atoms and distances in Å follow each position.
Atoms (fractional coordinates):
Na  0.1689  0.8311  0.0000  4 Te 3.20-3.25
Na  0.8311  0.1689  0.0000  4 Te 3.20-3.25
Ge  0.3022  0.3022  0.6472  2 Ge 2.70, 1 Te 2.81
Ge  0.3734  0.6266  0.5000  2 Ge 2.70, 1 Te 2.71
Ge  0.6266  0.3734  0.5000  2 Ge 2.70, 1 Te 2.71
Ge  0.6978  0.6978  0.3528  2 Ge 2.70, 1 Te 2.81
Te  0.1471  0.8529  0.5000  1 Ge 2.71
Te  0.3032  0.3032  0.0882  3 Ge 2.81-3.04
Te  0.6968  0.6968  0.9118  3 Ge 2.81-3.04
Te  0.8529  0.1471  0.5000  1 Ge 2.71

[4]
TaAlOs: optimized geometry, PBE.

Computed properties:
Total DFT energy (no corrections) ... -9.044 eV/atom
Space-group type ... F-43m (216)
E_form ... -0.103 eV per atom
Calculated density ... 11.91 g/cm3

Cell lengths 4.2815, 4.2815, 4.2815 Å; angles 60.00, 60.00, 60.00 degrees
Closest atoms and distances in Å follow each position.
Atoms (fractional coordinates):
Ta  0.0000  0.0000  0.0000  4 Os 2.62
Al  0.5000  0.5000  0.5000  4 Os 2.62
Os  0.7500  0.7500  0.7500  4 Al 2.62, 4 Ta 2.62

[5]
BeCr2Fe: optimized geometry, PBE.

Computed properties:
Total DFT energy (no corrections) ... -7.836 eV/atom
Space-group type ... Pmmm (47)
E_form ... 0.023 eV per atom
Calculated density ... 6.59 g/cm3

Cell lengths 2.9390, 3.7327, 3.8769 Å; angles 90.00, 90.00, 90.00 degrees
Closest atoms and distances in Å follow each position.
Atoms (fractional coordinates):
Be  0.0000  0.0000  0.0000  4 Fe 2.38, 4 Cr 2.43
Cr  0.0000  0.5000  0.5000  4 Cr 2.38, 4 Fe 2.43
Cr  0.5000  0.0000  0.5000  4 Cr 2.38, 4 Be 2.43
Fe  0.5000  0.5000  0.0000  4 Be 2.38, 4 Cr 2.43

[6]
Ho5Pb2: optimized geometry, PBE.

Computed properties:
Total DFT energy (no corrections) ... -4.656 eV/atom
Energy relative to the lowest polymorph listed for this composition ... 0 meV per atom
Space-group type ... Cmcm (63)
E_form ... -0.327 eV per atom
Calculated density ... 9.88 g/cm3

Cell lengths 19.8784, 19.8784, 4.5957 Å; angles 90.00, 90.00, 166.75 degrees
Closest atoms and distances in Å follow each position.
Atoms (fractional coordinates):
Ho  0.0346  0.9654  0.7500  8 Ho 3.25-3.59, 2 Pb 3.35
Ho  0.1090  0.8910  0.2500  5 Pb 3.17-3.28
Ho  0.2500  0.7500  0.7500  4 Ho 3.25, 4 Pb 3.32
Ho  0.3234  0.6766  0.2500  5 Pb 3.17-3.28
Ho  0.4647  0.5353  0.7500  8 Ho 3.25-3.61, 2 Pb 3.33
Ho  0.5353  0.4647  0.2500  8 Ho 3.25-3.61, 2 Pb 3.33
Ho  0.6766  0.3234  0.7500  5 Pb 3.17-3.28
Ho  0.7500  0.2500  0.2500  4 Ho 3.25, 4 Pb 3.32
Ho  0.8910  0.1090  0.7500  5 Pb 3.17-3.28
Ho  0.9654  0.0346  0.2500  8 Ho 3.25-3.59, 2 Pb 3.35
Pb  0.1892  0.8108  0.2500  9 Ho 3.17-3.32
Pb  0.4036  0.5964  0.2500  9 Ho 3.17-3.35
Pb  0.5964  0.4036  0.7500  9 Ho 3.17-3.35
Pb  0.8108  0.1892  0.7500  9 Ho 3.17-3.32